## PuTaPd2 (PBE)

Data for crystalline PuTaPd2 at its relaxed geometry. Values from VASP.

Quantum ESPRESSO input file:
```
&SYSTEM
  ibrav = 0, nat = 16, ntyp = 3
/
ATOMIC_SPECIES
Pu 244.00 Pu.upf
Ta 180.95 Ta.upf
Pd 106.42 Pd.upf
ATOMIC_POSITIONS crystal
Pu 0.000 0.000 0.000
Pu 0.000 0.500 0.500
Pu 0.500 0.000 0.500
Pu 0.500 0.500 0.000
Ta 0.000 0.000 0.500
Ta 0.000 0.500 0.000
Ta 0.500 0.000 0.000
Ta 0.500 0.500 0.500
Pd 0.250 0.250 0.250
Pd 0.250 0.250 0.750
Pd 0.250 0.750 0.250
Pd 0.250 0.750 0.750
Pd 0.750 0.250 0.250
Pd 0.750 0.250 0.750
Pd 0.750 0.750 0.250
Pd 0.750 0.750 0.750
CELL_PARAMETERS angstrom
6.747 0.000 0.000
0.000 6.747 0.000
0.000 0.000 6.747
```

The raw total energy is -146.701 eV for the cell shown. Its theoretical density is 13.8 g/cm³. Its density of states at the Fermi level is 45.74 states/eV/cell. The energy above the most stable polymorph in this dataset is 246 meV/atom.